No. 1
# ZnIn2Tc (PBE, relaxed)
data_ZnIn2Tc
_cell_length_a 3.561
_cell_length_b 3.562
_cell_length_c 5.783
_cell_angle_alpha 90.00
_cell_angle_beta 90.00
_cell_angle_gamma 90.00
_symmetry_space_group_name_H-M 'P 1'
_symmetry_Int_Tables_number 1
loop_
_symmetry_equiv_pos_as_xyz
'x,y,z'
loop_
_atom_site_label
_atom_site_type_symbol
_atom_site_fract_x
_atom_site_fract_y
_atom_site_fract_z
_atom_site_occupancy
In1 In 0.000 0.000 0.006 1
In2 In 0.000 0.000 0.494 1
Tc1 Tc 0.500 0.500 0.250 1
Zn1 Zn 0.500 0.500 0.750 1
# Formation energy from the elements: 0.18 eV/atom
# Raw total energy: -16.4 eV per formula unit
# Space group: P4/mmm
# Crystal system: tetragonal

No. 2
# ZnIn2Tc (PBE, relaxed)
data_ZnIn2Tc
_cell_length_a 5.326
_cell_length_b 5.326
_cell_length_c 5.326
_cell_angle_alpha 135.85
_cell_angle_beta 135.85
_cell_angle_gamma 64.21
_symmetry_space_group_name_H-M 'P 1'
_symmetry_Int_Tables_number 1
loop_
_symmetry_equiv_pos_as_xyz
'x,y,z'
loop_
_atom_site_label
_atom_site_type_symbol
_atom_site_fract_x
_atom_site_fract_y
_atom_site_fract_z
_atom_site_occupancy
In1 In 0.000 0.000 0.000 1
In2 In 0.250 0.750 0.500 1
Tc1 Tc 0.500 0.500 0.000 1
Zn1 Zn 0.750 0.250 0.500 1
# Formation energy from the elements: 0.17 eV/atom
# Raw total energy: -16.4 eV per formula unit
# Space group: I-4m2
# Crystal system: tetragonal

No. 3
# ZnIn2Tc (PBE, relaxed)
data_ZnIn2Tc
_cell_length_a 5.145
_cell_length_b 5.145
_cell_length_c 5.207
_cell_angle_alpha 82.79
_cell_angle_beta 82.79
_cell_angle_gamma 33.09
_symmetry_space_group_name_H-M 'P 1'
_symmetry_Int_Tables_number 1
loop_
_symmetry_equiv_pos_as_xyz
'x,y,z'
loop_
_atom_site_label
_atom_site_type_symbol
_atom_site_fract_x
_atom_site_fract_y
_atom_site_fract_z
_atom_site_occupancy
In1 In 0.011 0.011 0.992 1
In2 In 0.489 0.489 0.508 1
Tc1 Tc 0.750 0.750 0.750 1
Zn1 Zn 0.250 0.250 0.250 1
# Formation energy from the elements: 0.35 eV/atom
# Raw total energy: -15.7 eV per formula unit
# Space group: C2/m
# Crystal system: monoclinic